# 1
HfMgBr6: relaxed, GGA-PBE.

Cell: 6.770 6.770 7.207 Å, 61.97 61.98 60.00°
Element x y z (fractional)
Hf (0.000, 0.000, 0.000)
Br (0.757, 0.095, 0.753)
Br (0.395, 0.757, 0.753)
Br (0.905, 0.605, 0.247)
Br (0.095, 0.395, 0.753)
Br (0.243, 0.905, 0.247)
Br (0.605, 0.243, 0.247)
Mg (0.500, 0.500, 0.500)

## Properties
Energy: -4.044 eV/atom
Calculated density: 4.71 g cm⁻³

***

# 2
HfMgBr: relaxed, GGA-PBE.

Cell: 3.333 3.333 15.727 Å, 90.00 90.00 120.00°
Element x y z (fractional)
Br (0.333, 0.667, 0.734)
Br (0.333, 0.667, 0.164)
Mg (0.333, 0.667, 0.449)
Mg (0.667, 0.333, 0.950)
Hf (0.667, 0.333, 0.609)
Hf (0.667, 0.333, 0.289)

## Properties
Energy: -4.740 eV/atom
Calculated density: 6.21 g cm⁻³

***

# 3
HfMg2Br: relaxed, GGA-PBE.

Cell: 8.040 8.040 6.391 Å, 51.02 51.02 90.00°
Element x y z (fractional)
Mg (0.154, 0.625, 0.250)
Mg (0.875, 0.846, 0.750)
Mg (0.596, 0.125, 0.250)
Mg (0.375, 0.404, 0.750)
Hf (0.750, 0.250, 0.500)
Hf (0.000, 0.000, 0.000)
Br (0.250, 0.750, 0.500)
Br (0.500, 0.500, 0.000)

## Properties
Energy: -3.419 eV/atom
Calculated density: 5.40 g cm⁻³

***

# 4
HfMg3Br: relaxed, GGA-PBE.

Cell: 5.103 5.103 5.103 Å, 90.00 90.00 90.00°
Each line ends with the local moment (μB).
Element x y z (fractional)
Hf (0.500, 0.500, 0.500)  0.82
Br (0.000, 0.000, 0.000)  0.09
Mg (0.000, 0.000, 0.500)  0.01
Mg (0.000, 0.500, 0.000)  0.03
Mg (0.500, 0.000, 0.000)  0.03

## Properties
Energy: -2.639 eV/atom
Calculated density: 4.14 g cm⁻³

***

# 5
Hf2MgNiBr: relaxed, GGA-PBE.

Cell: 4.861 4.790 4.861 Å, 90.00 90.00 90.00°
Element x y z (fractional)
Hf (0.500, 0.000, 0.000)
Hf (0.000, 0.000, 0.500)
Br (0.000, 0.000, 0.000)
Ni (0.500, 0.500, 0.500)
Mg (0.000, 0.500, 0.000)

## Properties
Energy: -4.857 eV/atom
Calculated density: 7.63 g cm⁻³

***

# 6
HfMgOs2Br: relaxed, GGA-PBE.

Cell: 4.855 4.855 5.859 Å, 90.00 90.00 90.00°
Each line ends with the local moment (μB).
Element x y z (fractional)
Hf (0.000, 0.000, 0.000)  -0.15
Os (0.000, 0.500, 0.000)  1.10
Os (0.500, 0.000, 0.000)  1.10
Br (0.500, 0.500, 0.500)  0.14
Mg (0.000, 0.000, 0.500)  -0.01

## Properties
Energy: -5.387 eV/atom
Calculated density: 7.97 g cm⁻³

***

# 7
Rb2HfMgBr6: relaxed, GGA-PBE.

Cell: 7.737 7.737 7.738 Å, 60.00 60.00 90.00°
Each line ends with the local moment (μB).
Element x y z (fractional)
Br (0.750, 0.750, 0.501)  0.01
Br (0.250, 0.250, 0.499)  0.01
Br (0.250, 0.750, 0.000)  0.01
Br (0.750, 0.750, 0.000)  0.01
Br (0.250, 0.250, 0.000)  0.01
Br (0.750, 0.250, 0.000)  0.01
Rb (0.250, 0.750, 0.500)  0.00
Rb (0.750, 0.250, 0.500)  0.00
Hf (0.000, 0.000, 0.000)  1.12
Mg (0.500, 0.500, 0.000)  0.05

## Properties
Energy: -3.615 eV/atom
Calculated density: 4.32 g cm⁻³

***

# 8
RbHfMgBr2: relaxed, GGA-PBE.

Cell: 5.248 8.444 5.248 Å, 90.00 90.00 90.00°
Each line ends with the local moment (μB).
Element x y z (fractional)
Rb (0.000, 0.500, 0.000)  0.05
Br (0.000, 0.000, 0.500)  0.01
Br (0.500, 0.000, 0.000)  0.01
Hf (0.500, 0.500, 0.500)  1.44
Mg (0.000, 0.000, 0.000)  0.01

## Properties
Energy: -2.724 eV/atom
Calculated density: 3.20 g cm⁻³